1) This record from the Alexandria database describes NaBeGe3 after structural relaxation. The functional is PBE.

## Properties
Crystal system: cubic

```
5
Lattice="4.632 0.000 0.000 0.000 4.632 0.000 0.000 0.000 4.632" Properties=species:S:1:pos:R:3 pbc="T T T"
Na 0.000 0.000 0.000
Be 2.316 2.316 2.316
Ge 0.000 2.316 2.316
Ge 2.316 0.000 2.316
Ge 2.316 2.316 0.000
```

***

2) This record from the Alexandria database describes NaBeGe3 after structural relaxation. The functional is PBE.

## Properties
Crystal system: cubic

```
5
Lattice="4.984 0.000 0.000 0.000 4.984 0.000 0.000 0.000 4.984" Properties=species:S:1:pos:R:3 pbc="T T T"
Na 0.000 0.000 0.000
Be 2.492 2.492 2.492
Ge 0.000 0.000 2.492
Ge 0.000 2.492 0.000
Ge 2.492 0.000 0.000
```

***

Stability ranking, top entry: 1); the second entry is 1115 meV/atom less favorable.

***

1) This record from the Alexandria database describes NaBe2Ge2 after structural relaxation. The functional is PBE.

## Properties
Crystal system: tetragonal

```
10
Lattice="7.403 0.000 0.000 0.000 7.403 0.000 0.000 0.000 2.775" Properties=species:S:1:pos:R:3 pbc="T T T"
Na 0.000 0.000 0.000
Na 3.701 3.701 0.000
Be 0.909 2.793 0.000
Be 2.793 6.494 0.000
Be 4.610 0.909 0.000
Be 6.494 4.610 0.000
Ge 1.197 4.899 1.388
Ge 2.504 1.197 1.388
Ge 4.899 6.206 1.388
Ge 6.206 2.504 1.388
```

***

2) This record from the Alexandria database describes NaBe2Ge2 after structural relaxation. The functional is PBE.

## Properties
Crystal system: tetragonal

```
5
Lattice="-1.956 1.956 5.108 1.956 -1.956 5.108 1.956 1.956 -5.108" Properties=species:S:1:pos:R:3 pbc="T T T"
Na 0.000 0.000 0.000
Be 1.956 0.000 2.554
Be 0.000 1.956 2.554
Ge 0.000 0.000 3.850
Ge 0.000 0.000 6.367
```

***

Stability ranking, top entry: 2); the second entry is 253 meV/atom less favorable.

***

1) This record from the Alexandria database describes BeNb2Ge after structural relaxation. The functional is PBE.

## Properties
Crystal system: trigonal

```
4
Lattice="1.768 1.021 5.928 -1.768 1.021 5.928 0.000 -2.041 5.928" Properties=species:S:1:pos:R:3 pbc="T T T"
Be 0.000 0.000 0.000
Nb 0.000 0.000 4.570
Nb 0.000 0.000 13.215
Ge 0.000 0.000 8.893
```

***

2) This record from the Alexandria database describes BeNb2Ge after structural relaxation. The functional is PBE.

## Properties
Crystal system: cubic

```
4
Lattice="0.000 3.124 3.124 3.124 0.000 3.124 3.124 3.124 0.000" Properties=species:S:1:pos:R:3 pbc="T T T"
Be 0.000 0.000 0.000
Nb 1.562 1.562 1.562
Nb 4.686 4.686 4.686
Ge 3.124 3.124 3.124
```

***

3) This record from the Alexandria database describes BeNb2Ge after structural relaxation. The functional is PBE.

## Properties
Crystal system: tetragonal

```
8
Lattice="-3.417 3.417 2.751 3.417 -3.417 2.751 3.417 3.417 -2.751" Properties=species:S:1:pos:R:3 pbc="T T T"
Be 0.000 0.000 0.000
Be 0.000 3.417 1.376
Nb 5.125 1.632 -0.688
Nb 1.632 1.708 0.688
Nb -1.708 1.784 2.063
Nb 1.784 1.708 3.439
Ge 3.417 0.000 1.376
Ge 0.000 0.000 2.751
```

***

Stability ranking, top entry: 1); the second entry is 86 meV/atom less favorable.

***

1) This record from the Alexandria database describes Be2NbGeO after structural relaxation. The functional is PBE.

## Properties
Crystal system: tetragonal

```
5
Lattice="3.874 0.000 0.000 0.000 3.874 0.000 0.000 0.000 5.206" Properties=species:S:1:pos:R:3 pbc="T T T"
Be 0.000 1.937 0.000
Be 1.937 0.000 0.000
Nb 0.000 0.000 2.603
Ge 0.000 0.000 0.000
O 1.937 1.937 2.603
```

***

2) This record from the Alexandria database describes Be2NbGeO after structural relaxation. The functional is PBE.

## Properties
Crystal system: tetragonal

```
5
Lattice="4.586 0.000 0.000 0.000 4.586 0.000 0.000 0.000 5.025" Properties=species:S:1:pos:R:3 pbc="T T T"
Be 0.000 2.293 0.000
Be 2.293 0.000 0.000
Nb 0.000 0.000 0.000
Ge 0.000 0.000 2.512
O 2.293 2.293 2.512
```

***

Stability ranking, top entry: 1); the second entry is 867 meV/atom less favorable.